{"formula": "PWAu2", "functional": "PBE-GGA", "state": "relaxed", "e_above_lowest_polymorph_mev_per_atom": 264, "volume_a3_per_atom": 17.28, "ef_mev_per_atom": 373, "cell": [[-1.516, 1.938, 5.882], [1.516, -1.938, 5.882], [1.516, 1.938, -5.882]], "species": ["Au", "W", "P", "Au"], "fractional_positions": [[0.311, 0.311, 0.000], [0.000, 0.500, 0.500], [0.500, 0.000, 0.500], [0.689, 0.689, 0.000]]}

{"formula": "La5SmHo2Tm", "functional": "PBE-GGA", "state": "relaxed", "volume_a3_per_atom": 35.36, "ef_mev_per_atom": 127, "cell": [[-4.743, -1.763, 2.172], [1.778, -6.851, -8.659], [5.385, -6.648, 6.365]], "species": ["Ho", "Tm", "Ho", "La", "Sm", "Ho", "La", "Ho", "Sm", "La", "La", "La", "La", "Tm", "La", "La", "La", "La"], "fractional_positions": [[0.112, 0.224, 0.259], [0.400, 0.799, 0.508], [0.113, 0.226, 0.757], [0.377, 0.753, 0.008], [0.790, 0.579, 0.509], [0.888, 0.776, 0.759], [0.998, 0.996, 0.508], [0.887, 0.774, 0.257], [0.210, 0.421, 0.009], [0.500, 0.999, 0.258], [0.500, 0.001, 0.758], [0.721, 0.442, 0.819], [0.720, 0.440, 0.199], [0.600, 0.201, 0.008], [0.279, 0.558, 0.319], [0.002, 0.004, 0.008], [0.280, 0.560, 0.699], [0.623, 0.247, 0.508]]}

{"formula": "HoTlCd", "functional": "PBE-GGA", "state": "relaxed", "volume_a3_per_atom": 26.04, "ef_mev_per_atom": -173, "cell": [[-1.967, 2.565, -1.636], [-2.671, -2.388, -0.532], [-0.071, 1.419, 6.322]], "species": ["Ho", "Cd", "Tl"], "fractional_positions": [[0.947, 0.947, 0.894], [0.281, 0.281, 0.562], [0.622, 0.622, 0.244]]}

{"formula": "Tc2NiRu", "functional": "PBE-GGA", "state": "relaxed", "e_above_lowest_polymorph_mev_per_atom": 0, "volume_a3_per_atom": 13.51, "ef_mev_per_atom": -48, "cell": [[4.261, 0.000, 0.000], [0.000, 2.706, -0.003], [0.000, 0.004, 4.688]], "species": ["Tc", "Ni", "Ru", "Tc"], "fractional_positions": [[0.000, 0.125, 0.963], [0.000, 0.625, 0.455], [0.500, 0.625, 0.782], [0.500, 0.125, 0.299]]}